[1]
KNaAuCl2 after structural relaxation. Source: Alexandria, functional PBE-GGA.

Summary:
- Formation energy (no corrections): -153 kJ/mol of formula units
- D(E_F): 0.50 states/eV/atom
- Space-group type: P4/mmm, No. 123
- VASP energy: -2.194 eV/atom

Unit cell a=5.632 b=5.632 c=5.916 alpha=90.00 beta=90.00 gamma=90.00
Element x y z (fractional)
K (0.000, 0.000, 0.000)
Na (0.000, 0.000, 0.500)
Au (0.500, 0.500, 0.500)
Cl (0.000, 0.500, 0.000)
Cl (0.500, 0.000, 0.000)

***

[2]
K2NaAuCl6 after structural relaxation. Source: Alexandria, functional PBE-GGA.

Summary:
- Formation energy (no corrections): -1114 kJ/mol of formula units
- D(E_F): 0.56 states/eV/atom
- Space-group type: Fm-3m, No. 225
- VASP energy: -2.941 eV/atom

Unit cell a=7.389 b=7.389 c=7.389 alpha=60.00 beta=60.00 gamma=60.00
Element x y z (fractional)
K (0.250, 0.250, 0.250)
K (0.750, 0.750, 0.750)
Na (0.000, 0.000, 0.000)
Au (0.500, 0.500, 0.500)
Cl (0.260, 0.260, 0.740)
Cl (0.260, 0.740, 0.260)
Cl (0.260, 0.740, 0.740)
Cl (0.740, 0.260, 0.260)
Cl (0.740, 0.260, 0.740)
Cl (0.740, 0.740, 0.260)

***

[3]
KNaAuCl3 after structural relaxation. Source: Alexandria, functional PBE-GGA.

Summary:
- Formation energy (no corrections): -708 kJ/mol of formula units
- D(E_F): 0.00 states/eV/atom
- Space-group type: C2/m, No. 12
- VASP energy: -3.095 eV/atom

Unit cell a=9.608 b=9.608 c=6.178 alpha=95.84 beta=95.84 gamma=43.27
Element x y z (fractional)
K (0.237, 0.237, 0.265)
K (0.763, 0.763, 0.735)
Na (0.073, 0.073, 0.672)
Na (0.927, 0.927, 0.328)
Au (0.262, 0.738, 0.000)
Au (0.738, 0.262, 0.000)
Cl (0.172, 0.670, 0.682)
Cl (0.219, 0.219, 0.764)
Cl (0.330, 0.828, 0.318)
Cl (0.670, 0.172, 0.682)
Cl (0.781, 0.781, 0.236)
Cl (0.828, 0.330, 0.318)

***

[4]
K9Au3ClO2 after structural relaxation. Source: Alexandria, functional PBE-GGA.

Summary:
- Formation energy (no corrections): -1146 kJ/mol of formula units
- D(E_F): 0.19 states/eV/atom
- Space-group type: P-3m1, No. 164
- VASP energy: -2.890 eV/atom

Unit cell a=7.776 b=7.776 c=9.633 alpha=90.00 beta=90.00 gamma=120.00
Element x y z (fractional)
K (0.000, 0.500, 0.000)
K (0.178, 0.357, 0.309)
K (0.178, 0.822, 0.309)
K (0.357, 0.178, 0.691)
K (0.500, 0.000, 0.000)
K (0.500, 0.500, 0.000)
K (0.643, 0.822, 0.309)
K (0.822, 0.178, 0.691)
K (0.822, 0.643, 0.691)
Au (0.000, 0.000, 0.000)
Au (0.333, 0.667, 0.660)
Au (0.667, 0.333, 0.340)
Cl (0.000, 0.000, 0.500)
O (0.333, 0.667, 0.157)
O (0.667, 0.333, 0.843)

***

[5]
K2AuClO after structural relaxation. Source: Alexandria, functional PBE-GGA.

Summary:
- Formation energy (no corrections): -563 kJ/mol of formula units
- Space-group type: P4/mmm, No. 123
- VASP energy: -3.622 eV/atom

Unit cell a=5.587 b=5.587 c=4.040 alpha=90.00 beta=90.00 gamma=90.00
Element x y z (fractional)
K (0.000, 0.500, 0.000)
K (0.500, 0.000, 0.000)
Au (0.000, 0.000, 0.500)
Cl (0.500, 0.500, 0.500)
O (0.000, 0.000, 0.000)

***

[6]
K4AuClO after structural relaxation. Source: Alexandria, functional PBE-GGA.

Summary:
- Formation energy (no corrections): -729 kJ/mol of formula units
- Space-group type: Cmcm, No. 63
- VASP energy: -3.147 eV/atom

Unit cell a=9.047 b=9.047 c=7.402 alpha=90.00 beta=90.00 gamma=131.81
Element x y z (fractional)
K (0.000, 0.500, 0.000)
K (0.000, 0.500, 0.500)
K (0.089, 0.911, 0.750)
K (0.403, 0.597, 0.750)
K (0.500, 0.000, 0.000)
K (0.500, 0.000, 0.500)
K (0.597, 0.403, 0.250)
K (0.911, 0.089, 0.250)
Au (0.396, 0.604, 0.250)
Au (0.604, 0.396, 0.750)
Cl (0.108, 0.892, 0.250)
Cl (0.892, 0.108, 0.750)
O (0.247, 0.753, 0.750)
O (0.753, 0.247, 0.250)

***

[7]
K12Au4ClO3 after structural relaxation. Source: Alexandria, functional PBE-GGA.

Summary:
- Formation energy (no corrections): -1512 kJ/mol of formula units
- D(E_F): 0.22 states/eV/atom
- Space-group type: Im-3m, No. 229
- VASP energy: -2.934 eV/atom

Unit cell a=9.490 b=9.490 c=9.490 alpha=109.47 beta=109.47 gamma=109.47
Element x y z (fractional)
K (0.000, 0.274, 0.274)
K (0.000, 0.726, 0.726)
K (0.250, 0.500, 0.750)
K (0.250, 0.750, 0.500)
K (0.274, 0.000, 0.274)
K (0.274, 0.274, 0.000)
K (0.500, 0.250, 0.750)
K (0.500, 0.750, 0.250)
K (0.726, 0.000, 0.726)
K (0.726, 0.726, 0.000)
K (0.750, 0.250, 0.500)
K (0.750, 0.500, 0.250)
Au (0.000, 0.000, 0.500)
Au (0.000, 0.500, 0.000)
Au (0.500, 0.000, 0.000)
Au (0.500, 0.500, 0.500)
Cl (0.000, 0.000, 0.000)
O (0.000, 0.500, 0.500)
O (0.500, 0.000, 0.500)
O (0.500, 0.500, 0.000)

***

[8]
KP2AuCl after structural relaxation. Source: Alexandria, functional PBE-GGA.

Summary:
- Formation energy (no corrections): 43 kJ/mol of formula units
- Excess energy over the best structure of this formula in the dataset: 0.0000 eV/atom
- D(E_F): 1.01 states/eV/atom
- Space-group type: P4/mmm, No. 123
- VASP energy: -3.320 eV/atom

Unit cell a=4.680 b=4.680 c=7.273 alpha=90.00 beta=90.00 gamma=90.00
Element x y z (fractional)
K (0.000, 0.000, 0.000)
P (0.000, 0.500, 0.500)
P (0.500, 0.000, 0.500)
Au (0.500, 0.500, 0.500)
Cl (0.500, 0.500, 0.000)

***

[9]
KP2AuCl after structural relaxation. Source: Alexandria, functional PBE-GGA.

Summary:
- Formation energy (no corrections): 630 kJ/mol of formula units
- Excess energy over the best structure of this formula in the dataset: 1.2176 eV/atom
- D(E_F): 0.09 states/eV/atom
- Space-group type: P4/mmm, No. 123
- VASP energy: -2.102 eV/atom

Unit cell a=6.511 b=6.511 c=5.537 alpha=90.00 beta=90.00 gamma=90.00
Element x y z (fractional)
K (0.000, 0.000, 0.000)
P (0.000, 0.500, 0.000)
P (0.500, 0.000, 0.000)
Au (0.500, 0.500, 0.500)
Cl (0.000, 0.000, 0.500)

***

[10]
K2PbAu2Cl6 after structural relaxation. Source: Alexandria, functional PBE-GGA.

Summary:
- Formation energy (no corrections): -1082 kJ/mol of formula units
- D(E_F): 0.00 states/eV/atom
- Space-group type: C2/m, No. 12
- VASP energy: -3.159 eV/atom

Unit cell a=7.903 b=7.903 c=7.771 alpha=117.68 beta=117.68 gamma=57.60
Element x y z (fractional)
K (0.238, 0.238, 0.192)
K (0.762, 0.762, 0.808)
Pb (0.000, 0.000, 0.500)
Au (0.438, 0.438, 0.776)
Au (0.562, 0.562, 0.224)
Cl (0.177, 0.668, 0.176)
Cl (0.234, 0.234, 0.595)
Cl (0.332, 0.823, 0.824)
Cl (0.668, 0.177, 0.176)
Cl (0.766, 0.766, 0.405)
Cl (0.823, 0.332, 0.824)

***

[11]
KPdAuCl6 after structural relaxation. Source: Alexandria, functional PBE-GGA.

Summary:
- Formation energy (no corrections): -623 kJ/mol of formula units
- Space-group type: P1, No. 1
- VASP energy: -3.012 eV/atom

Unit cell a=5.702 b=5.865 c=9.402 alpha=82.97 beta=87.19 gamma=74.83
Element x y z (fractional)
K (0.000, 0.000, 0.000)
Pd (0.350, 0.426, 0.701)
Au (0.633, 0.490, 0.371)
Cl (0.269, 0.679, 0.484)
Cl (0.454, 0.190, 0.913)
Cl (0.550, 0.763, 0.169)
Cl (0.702, 0.220, 0.581)
Cl (0.989, 0.618, 0.797)
Cl (0.996, 0.296, 0.270)

***

[12]
K2PrAuCl6 after structural relaxation. Source: Alexandria, functional PBE-GGA.

Summary:
- Formation energy (no corrections): -1548 kJ/mol of formula units
- D(E_F): 0.00 states/eV/atom
- Space-group type: Fm-3m, No. 225
- VASP energy: -3.738 eV/atom

Unit cell a=7.742 b=7.742 c=7.742 alpha=60.00 beta=60.00 gamma=60.00
Element x y z (fractional)
K (0.250, 0.250, 0.250)
K (0.750, 0.750, 0.750)
Pr (0.000, 0.000, 0.000)
Au (0.500, 0.500, 0.500)
Cl (0.250, 0.250, 0.750)
Cl (0.250, 0.750, 0.250)
Cl (0.250, 0.750, 0.750)
Cl (0.750, 0.250, 0.250)
Cl (0.750, 0.250, 0.750)
Cl (0.750, 0.750, 0.250)